## NdGdEr2In2 (PBE)

Data for crystalline NdGdEr2In2 at its relaxed geometry.

Properties
Crystal system = hexagonal
E_tot = -26.10 eV/f.u.
Spin magnetization = 0.081 μB/atom

Lattice parameters (Å, degrees): 5.4138 5.4138 6.7727 90.00 90.00 120.00
Last column: magnetic moment on the atom in μB.
Atoms (fractional coordinates):
Er 0.3333 0.6667 0.7535  0.10
Gd 0.0000 0.0000 0.0000  0.08
Nd 0.6667 0.3333 0.5000  0.05
In 0.0000 0.0000 0.5000  0.00
Er 0.3333 0.6667 0.2465  0.09
In 0.6667 0.3333 0.0000  0.00